1.
Entry from the Open Quantum Materials Database: an optimized crystal structure of TmUPd (PBE).

Structure (POSCAR):
```
TmUPd
1.0
0.4422 -4.1840 -2.3349
-3.7702 -2.9691 -0.3518
-2.1792 -0.6290 -4.2436
Tm Pd U
1 1 1
Direct
0.2500 0.2500 0.2500 Tm
0.0000 0.0000 0.0000 Pd
0.7500 0.7500 0.7500 U
```

ΔE to the lowest computed polymorph in meV per atom: 0
ΔH_f (0 K) in eV/atom: 0.15
Space-group type: F-43m


2.
Entry from the Open Quantum Materials Database: an optimized crystal structure of HoZrSn (PBE).

Structure (POSCAR):
```
HoZrSn
1.0
0.0000 3.5459 3.5459
3.5459 0.0000 3.5459
3.5459 3.5459 0.0000
Sn Zr Ho
1 1 1
Direct
0.7500 0.7500 0.7500 Sn
0.0000 0.0000 0.0000 Zr
0.2500 0.2500 0.2500 Ho
```

VASP energy in eV/atom: -5.40
Space-group type: F-43m


3.
Entry from the Open Quantum Materials Database: an optimized crystal structure of SmTaGe (PBE).

Structure (POSCAR):
```
SmTaGe
1.0
0.0000 3.2791 3.2791
3.2791 0.0000 3.2791
3.2791 3.2791 0.0000
Sm Ge Ta
1 1 1
Direct
0.2500 0.2500 0.2500 Sm
0.0000 0.0000 0.0000 Ge
0.7500 0.7500 0.7500 Ta
```

VASP energy in eV/atom: -6.92
Space-group type: F-43m


4.
Entry from the Open Quantum Materials Database: an optimized crystal structure of Pr2DyBi3 (PBE).

Structure (POSCAR):
```
Pr2DyBi3
1.0
-0.1111 -0.0974 -4.5504
3.1882 -2.3454 2.2499
-6.7904 -8.8887 0.3561
Bi Pr Dy
3 2 1
Direct
0.6667 0.3333 0.6577 Bi
0.3333 0.6667 0.3423 Bi
0.0000 0.0000 0.0000 Bi
0.3333 0.6667 0.8280 Pr
0.6667 0.3333 0.1720 Pr
0.0000 0.0000 0.5000 Dy
```

VASP energy in eV/atom: -5.32
Space-group type: P-3m1


| no. | theoretical density (g/cm3) |
| --- | --- |
| 1 | 10.8 |
| 2 | 7.0 |
| 3 | 9.5 |
| 4 | 8.9 |